[1]
{
  "formula": "TbPaGa2O8",
  "functional": "PBE",
  "state": "relaxed",
  "spacegroup": "I-4m2, No. 119",
  "e_form_raw_ev_per_atom": -2.365,
  "e_tot_ev_per_atom": -7.352,
  "volume_a3_per_atom": 13.90,
  "dos_at_fermi_per_ev_cell": 11.9,
  "lattice": [[-3.510, -3.136, 3.735], [2.070, -3.404, -4.498], [4.699, 2.074, 3.117]],
  "species": ["O", "Ga", "O", "O", "Pa", "O", "Tb", "O", "O", "O", "O", "Ga"],
  "frac_coords": [[0.938, 0.631, 0.693], [0.750, 0.250, 0.500], [0.938, 0.245, 0.307], [0.515, 0.697, 0.818], [0.000, 0.000, 0.000], [0.755, 0.062, 0.693], [0.250, 0.750, 0.500], [0.303, 0.485, 0.182], [0.303, 0.121, 0.818], [0.369, 0.062, 0.307], [0.879, 0.697, 0.182], [0.500, 0.500, 0.000]]
}



[2]
{
  "formula": "YMo3Br",
  "functional": "PBE",
  "state": "relaxed",
  "spacegroup": "Pm-3m, No. 221",
  "e_form_raw_ev_per_atom": 2.711,
  "e_tot_ev_per_atom": -5.415,
  "volume_a3_per_atom": 24.53,
  "dos_at_fermi_per_ev_cell": 10.1,
  "lattice": [[4.969, 0.000, 0.000], [0.000, 4.969, 0.000], [0.000, 0.000, 4.969]],
  "species": ["Mo", "Mo", "Y", "Mo", "Br"],
  "frac_coords": [[0.000, 0.000, 0.500], [0.000, 0.500, 0.000], [0.000, 0.000, 0.000], [0.500, 0.000, 0.000], [0.500, 0.500, 0.500]]
}



[3]
{
  "formula": "CaCeHo2Sb4",
  "functional": "PBE",
  "state": "relaxed",
  "spacegroup": "P2/m, No. 10",
  "e_form_raw_ev_per_atom": -1.037,
  "e_tot_ev_per_atom": -5.235,
  "volume_a3_per_atom": 30.85,
  "dos_at_fermi_per_ev_cell": 4.3,
  "lattice": [[-3.983, -1.853, 0.626], [2.659, -6.663, -2.798], [2.845, -4.178, 5.739]],
  "species": ["Ho", "Sb", "Sb", "Ce", "Sb", "Ca", "Sb", "Ho"],
  "frac_coords": [[0.000, 0.000, 0.000], [0.500, 0.243, 0.757], [0.500, 0.757, 0.243], [0.500, 0.500, 0.000], [0.000, 0.756, 0.750], [0.000, 0.500, 0.500], [0.000, 0.244, 0.250], [0.500, 0.000, 0.500]]
}



[4]
{
  "formula": "Ba8Rh3Br2",
  "functional": "PBE",
  "state": "relaxed",
  "spacegroup": "P-1, No. 2",
  "e_form_raw_ev_per_atom": -0.608,
  "e_tot_ev_per_atom": -3.745,
  "volume_a3_per_atom": 44.87,
  "dos_at_fermi_per_ev_cell": 8.4,
  "lattice": [[7.637, 0.150, -1.932], [-1.065, 8.254, -3.584], [-0.114, -0.818, 9.640]],
  "species": ["Ba", "Ba", "Br", "Rh", "Rh", "Ba", "Ba", "Br", "Rh", "Ba", "Ba", "Ba", "Ba"],
  "frac_coords": [[0.610, 0.658, 0.790], [0.098, 0.895, 0.791], [0.354, 0.257, 0.515], [0.000, 0.255, 0.000], [0.500, 0.000, 0.000], [0.902, 0.105, 0.209], [0.390, 0.867, 0.209], [0.646, 0.743, 0.485], [0.000, 0.745, 0.000], [0.911, 0.606, 0.211], [0.089, 0.394, 0.789], [0.390, 0.342, 0.210], [0.610, 0.133, 0.791]]
}



[5]
{
  "formula": "CaTcAu2",
  "functional": "PBE",
  "state": "relaxed",
  "e_form_ev_per_atom": 0.449,
  "spacegroup": "I-42d, No. 122",
  "e_tot_ev_per_atom": -4.282,
  "volume_a3_per_atom": 25.30,
  "dos_at_fermi_per_ev_cell": 6.5,
  "lattice": [[-2.353, 3.135, -2.811], [-4.089, -2.472, 0.665], [-5.039, 5.213, 5.892]],
  "species": ["Ca", "Au", "Ca", "Tc", "Tc", "Au", "Au", "Au"],
  "frac_coords": [[0.500, 0.500, 0.000], [0.375, 0.290, 0.750], [0.250, 0.750, 0.500], [0.000, 0.000, 0.000], [0.750, 0.250, 0.500], [0.875, 0.960, 0.750], [0.710, 0.125, 0.250], [0.040, 0.625, 0.250]]
}



[6]
{
  "formula": "In4Ga2Pb3",
  "functional": "PBE",
  "state": "relaxed",
  "e_form_ev_per_atom": 0.051,
  "spacegroup": "C2/m, No. 12",
  "e_tot_ev_per_atom": -3.074,
  "volume_a3_per_atom": 27.12,
  "dos_at_fermi_per_ev_cell": 4.4,
  "lattice": [[-0.766, 0.225, -3.410], [7.972, -2.440, -1.950], [-3.661, -7.387, 2.134]],
  "species": ["In", "Pb", "In", "Pb", "Ga", "Ga", "In", "Pb", "In"],
  "frac_coords": [[0.796, 0.654, 0.593], [0.134, 0.722, 0.268], [0.204, 0.346, 0.407], [0.866, 0.278, 0.732], [0.320, 0.959, 0.641], [0.680, 0.041, 0.359], [0.545, 0.353, 0.090], [0.000, 0.000, 0.000], [0.455, 0.647, 0.910]]
}



[7]
{
  "formula": "Li4Al4Ag3",
  "functional": "PBE",
  "state": "relaxed",
  "e_form_ev_per_atom": -0.178,
  "spacegroup": "P-1, No. 2",
  "e_tot_ev_per_atom": -3.013,
  "volume_a3_per_atom": 16.06,
  "dos_at_fermi_per_ev_cell": 2.8,
  "lattice": [[2.832, 0.445, 0.185], [0.637, 4.797, 0.398], [-0.730, -0.826, 13.183]],
  "species": ["Ag", "Li", "Al", "Ag", "Li", "Al", "Al", "Al", "Ag", "Li", "Li"],
  "frac_coords": [[0.000, 0.000, 0.000], [0.907, 0.188, 0.642], [0.452, 0.097, 0.824], [0.823, 0.350, 0.273], [0.273, 0.451, 0.095], [0.365, 0.273, 0.455], [0.635, 0.727, 0.545], [0.548, 0.903, 0.176], [0.177, 0.650, 0.727], [0.093, 0.812, 0.358], [0.727, 0.550, 0.905]]
}



[8]
{
  "formula": "EuIn3",
  "functional": "PBE",
  "state": "relaxed",
  "e_form_ev_per_atom": -0.311,
  "spacegroup": "I4/mmm, No. 139",
  "e_tot_ev_per_atom": -4.934,
  "volume_a3_per_atom": 27.57,
  "dos_at_fermi_per_ev_cell": 7.1,
  "lattice": [[4.785, 0.000, 0.000], [0.000, 4.785, 0.000], [-2.392, -2.392, 4.818]],
  "species": ["In", "Eu", "In", "In"],
  "frac_coords": [[0.750, 0.250, 0.500], [0.000, 0.000, 0.000], [0.250, 0.750, 0.500], [0.500, 0.500, 0.000]]
}



[9]
{
  "formula": "NaYGaAu",
  "functional": "PBE",
  "state": "relaxed",
  "e_form_ev_per_atom": -0.426,
  "spacegroup": "F-43m, No. 216",
  "e_tot_ev_per_atom": -3.948,
  "volume_a3_per_atom": 22.01,
  "dos_at_fermi_per_ev_cell": 2.0,
  "lattice": [[4.993, 0.000, 0.000], [2.497, 4.324, 0.000], [2.497, 1.441, 4.077]],
  "species": ["Y", "Au", "Ga", "Na"],
  "frac_coords": [[0.750, 0.750, 0.750], [0.500, 0.500, 0.500], [0.000, 0.000, 0.000], [0.250, 0.250, 0.250]]
}



[10]
{
  "formula": "NaTlCo2Pt",
  "functional": "PBE",
  "state": "relaxed",
  "e_form_ev_per_atom": 1.695,
  "spacegroup": "P4/mmm, No. 123",
  "e_tot_ev_per_atom": -3.093,
  "volume_a3_per_atom": 19.11,
  "dos_at_fermi_per_ev_cell": 13.3,
  "lattice": [[-0.811, -2.908, -3.181], [-0.199, -3.639, 3.377], [-4.307, 0.679, 0.478]],
  "species": ["Co", "Co", "Tl", "Pt", "Na"],
  "frac_coords": [[0.000, 0.000, 0.500], [0.500, 0.000, 0.000], [0.000, 0.500, 0.000], [0.500, 0.500, 0.500], [0.000, 0.000, 0.000]]
}



[11]
{
  "formula": "GdZnInPd",
  "functional": "PBE",
  "state": "relaxed",
  "e_form_ev_per_atom": -0.578,
  "spacegroup": "F-43m, No. 216",
  "e_tot_ev_per_atom": -6.399,
  "volume_a3_per_atom": 20.14,
  "dos_at_fermi_per_ev_cell": 1.8,
  "lattice": [[4.848, 0.000, 0.000], [2.424, 4.199, 0.000], [2.424, 1.400, 3.958]],
  "species": ["Zn", "Pd", "In", "Gd"],
  "frac_coords": [[0.750, 0.750, 0.750], [0.250, 0.250, 0.250], [0.500, 0.500, 0.500], [0.000, 0.000, 0.000]]
}



[12]
{
  "formula": "Er2AlGa6",
  "functional": "PBE",
  "state": "relaxed",
  "e_form_ev_per_atom": -0.442,
  "spacegroup": "P-3m1, No. 164",
  "e_tot_ev_per_atom": -3.890,
  "volume_a3_per_atom": 19.00,
  "dos_at_fermi_per_ev_cell": 3.3,
  "lattice": [[5.642, 0.216, -0.397], [-0.377, 5.366, -2.439], [0.434, -0.555, 5.865]],
  "species": ["Ga", "Er", "Al", "Ga", "Er", "Ga", "Ga", "Ga", "Ga"],
  "frac_coords": [[0.669, 0.360, 0.180], [0.142, 0.667, 0.333], [0.000, 0.000, 0.000], [0.669, 0.820, 0.640], [0.858, 0.333, 0.667], [0.331, 0.180, 0.820], [0.331, 0.180, 0.360], [0.669, 0.820, 0.180], [0.331, 0.640, 0.820]]
}



[13]
{
  "formula": "MoIr4Os",
  "functional": "PBE",
  "state": "relaxed",
  "e_form_ev_per_atom": 0.022,
  "spacegroup": "Cmcm, No. 63",
  "e_tot_ev_per_atom": -9.562,
  "volume_a3_per_atom": 15.21,
  "dos_at_fermi_per_ev_cell": 11.2,
  "lattice": [[-4.207, -1.604, -0.118], [1.519, -4.216, 3.142], [-0.905, 1.811, 7.630]],
  "species": ["Ir", "Mo", "Os", "Ir", "Ir", "Ir", "Ir", "Ir", "Ir", "Ir", "Os", "Mo"],
  "frac_coords": [[0.750, 0.605, 0.789], [0.750, 0.697, 0.105], [0.750, 0.195, 0.109], [0.250, 0.209, 0.578], [0.750, 0.106, 0.789], [0.250, 0.894, 0.211], [0.750, 0.791, 0.422], [0.250, 0.395, 0.211], [0.750, 0.288, 0.421], [0.250, 0.712, 0.579], [0.250, 0.805, 0.891], [0.250, 0.303, 0.895]]
}



[14]
{
  "formula": "Ba8As3Se3O",
  "functional": "PBE",
  "state": "relaxed",
  "spacegroup": "R-3m, No. 166",
  "e_form_raw_ev_per_atom": -1.536,
  "e_tot_ev_per_atom": -4.519,
  "volume_a3_per_atom": 38.81,
  "dos_at_fermi_per_ev_cell": 7.5,
  "lattice": [[-3.559, 0.564, 8.550], [6.374, -6.454, -1.955], [2.599, 9.092, 0.481]],
  "species": ["Ba", "Ba", "Se", "As", "Ba", "Ba", "O", "As", "Ba", "Se", "Ba", "Ba", "Se", "Ba", "As"],
  "frac_coords": [[0.777, 0.997, 0.717], [0.249, 0.498, 0.248], [0.000, 0.500, 0.000], [0.000, 0.500, 0.500], [0.220, 0.997, 0.717], [0.223, 0.003, 0.283], [0.000, 0.000, 0.500], [0.500, 0.000, 0.500], [0.751, 0.502, 0.752], [0.000, 0.000, 0.000], [0.780, 0.560, 0.283], [0.780, 0.003, 0.283], [0.500, 0.500, 0.000], [0.220, 0.440, 0.717], [0.500, 0.500, 0.500]]
}



[15]
{
  "formula": "TlHg4H",
  "functional": "PBE",
  "state": "relaxed",
  "spacegroup": "P2/m, No. 10",
  "e_tot_ev_per_atom": -0.951,
  "volume_a3_per_atom": 23.65,
  "dos_at_fermi_per_ev_cell": 1.6,
  "lattice": [[3.340, 0.000, 0.000], [0.000, 3.721, -0.413], [0.000, -0.918, 11.519]],
  "species": ["Tl", "Hg", "H", "Hg", "Hg", "Hg"],
  "frac_coords": [[0.500, 0.000, 0.500], [0.000, 0.627, 0.704], [0.000, 0.500, 0.000], [0.000, 0.373, 0.296], [0.500, 0.205, 0.886], [0.500, 0.795, 0.114]]
}



[16]
{
  "formula": "Rb2In3I5",
  "functional": "PBE",
  "state": "relaxed",
  "spacegroup": "P-1, No. 2",
  "e_form_raw_ev_per_atom": -0.830,
  "e_tot_ev_per_atom": -2.620,
  "volume_a3_per_atom": 49.84,
  "lattice": [[5.341, 0.241, 1.852], [2.910, 8.941, 4.238], [2.042, 0.595, 11.484]],
  "species": ["Rb", "In", "Rb", "I", "In", "I", "In", "I", "I", "I"],
  "frac_coords": [[0.288, 0.218, 0.191], [0.058, 0.297, 0.723], [0.712, 0.782, 0.809], [0.573, 0.496, 0.188], [0.500, 0.500, 0.500], [0.427, 0.504, 0.812], [0.942, 0.703, 0.277], [0.952, 0.149, 0.583], [0.000, 0.000, 0.000], [0.048, 0.851, 0.417]]
}



[17]
{
  "formula": "KSi2Br",
  "functional": "PBE",
  "state": "relaxed",
  "spacegroup": "P3m1, No. 156",
  "e_form_raw_ev_per_atom": -0.395,
  "e_tot_ev_per_atom": -3.799,
  "volume_a3_per_atom": 27.35,
  "lattice": [[-3.716, -1.277, 0.462], [-1.296, -1.062, 3.584], [-2.434, 7.571, 1.367]],
  "species": ["K", "Br", "Si", "Si"],
  "frac_coords": [[0.292, 0.292, 0.243], [0.625, 0.625, 0.515], [0.958, 0.958, 0.915], [0.625, 0.625, 0.827]]
}



[18]
{
  "formula": "DyEr2Th2",
  "functional": "PBE",
  "state": "relaxed",
  "e_form_ev_per_atom": 0.029,
  "spacegroup": "P2_1/c, No. 14",
  "e_tot_ev_per_atom": -5.684,
  "volume_a3_per_atom": 31.47,
  "dos_at_fermi_per_ev_cell": 26.1,
  "lattice": [[-2.594, -2.376, -5.069], [0.826, -6.528, 2.636], [-12.079, 1.671, 7.923]],
  "species": ["Dy", "Dy", "Th", "Er", "Er", "Dy", "Er", "Th", "Er", "Er", "Th", "Th", "Er", "Er", "Th", "Th", "Th", "Th", "Er", "Dy"],
  "frac_coords": [[0.150, 0.627, 0.698], [0.350, 0.127, 0.302], [0.749, 0.125, 0.501], [0.950, 0.625, 0.098], [0.550, 0.125, 0.902], [0.650, 0.873, 0.698], [0.352, 0.623, 0.303], [0.450, 0.371, 0.098], [0.852, 0.877, 0.303], [0.648, 0.377, 0.697], [0.751, 0.625, 0.499], [0.550, 0.629, 0.902], [0.450, 0.875, 0.098], [0.148, 0.123, 0.697], [0.251, 0.875, 0.499], [0.950, 0.129, 0.098], [0.249, 0.375, 0.501], [0.050, 0.871, 0.902], [0.050, 0.375, 0.902], [0.850, 0.373, 0.302]]
}



[19]
{
  "formula": "ZrCo3Ir",
  "functional": "PBE",
  "state": "relaxed",
  "e_form_ev_per_atom": 0.927,
  "spacegroup": "Pm-3m, No. 221",
  "e_tot_ev_per_atom": -6.818,
  "volume_a3_per_atom": 18.07,
  "dos_at_fermi_per_ev_cell": 6.5,
  "lattice": [[4.487, 0.000, 0.000], [0.000, 4.487, 0.000], [0.000, 0.000, 4.487]],
  "species": ["Co", "Co", "Co", "Zr", "Ir"],
  "frac_coords": [[0.000, 0.000, 0.500], [0.000, 0.500, 0.000], [0.500, 0.000, 0.000], [0.500, 0.500, 0.500], [0.000, 0.000, 0.000]]
}



[20]
{
  "formula": "AsPtRh2",
  "functional": "PBE",
  "state": "relaxed",
  "e_form_ev_per_atom": -0.093,
  "spacegroup": "Immm, No. 71",
  "e_tot_ev_per_atom": -6.442,
  "volume_a3_per_atom": 15.03,
  "dos_at_fermi_per_ev_cell": 4.2,
  "lattice": [[5.258, -0.007, -0.003], [2.444, 4.656, 0.003], [-3.239, -3.338, 2.452]],
  "species": ["Rh", "As", "Rh", "Pt"],
  "frac_coords": [[0.529, 0.529, 0.000], [0.750, 0.250, 0.500], [0.971, 0.971, 0.000], [0.250, 0.750, 0.500]]
}